1.
Al3Ag4 | PBE | relaxed

The structure belongs to space group R3m (No. 160, hexagonal axes); the cell edges are 2.9584, 2.9584 and 47.5122 Å and the angles 90.00°, 90.00° and 120.00°. The distinct sites, in fractional coordinates, are Al at (0.0000, 0.0000, 0.0000), Al at (0.0000, 0.0000, 0.1411), Al at (0.0000, 0.0000, 0.4270), Ag at (0.0000, 0.0000, 0.2876), Ag at (0.0000, 0.0000, 0.5702), Ag at (0.0000, 0.0000, 0.7137) and Ag at (0.0000, 0.0000, 0.8530).

The total magnetization is 0.000 μB per atom. The value obtained for the energy relative to the lowest polymorph listed for this composition is 2.0 kJ/mol of atoms. As for the energy of formation: -0.031 eV per atom.

---

2.
TcTeMo | PBE | relaxed

The structure belongs to space group Imm2 (No. 44); the cell edges are 3.136, 4.193 and 7.949 Å and the angles 90.00°, 90.00° and 90.00°. The distinct sites, in fractional coordinates, are Tc at (0.000, 0.000, 0.000), Te at (0.000, 0.000, 0.668) and Mo at (0.000, 0.000, 0.334).

The total magnetization is 0.000 μB per atom. The value obtained for the energy relative to the lowest polymorph listed for this composition is 23.4 kJ/mol of atoms. The calculation puts the raw formation energy at 0.439 eV/atom.

---

3.
Tm6BiAs3P2 | PBE | relaxed

The structure belongs to space group C2/m (No. 12); the cell edges are 17.789, 4.069 and 8.218 Å and the angles 90.00°, 102.96° and 90.00°. The distinct sites, in fractional coordinates, are Tm at (0.004, 0.000, 0.270), Tm at (0.170, 0.500, 0.580), Tm at (0.175, 0.500, 0.095), Bi at (0.000, 0.500, 0.000), As at (0.000, 0.500, 0.500), As at (0.164, 0.000, 0.832) and P at (0.168, 0.000, 0.337).

The total magnetization is 0.000 μB per atom. As for the energy of formation: -1.376 eV per atom.

---

4.
LaGaSnAu2 | PBE | relaxed

The structure belongs to space group P4/mmm (No. 123); the cell edges are 5.535, 5.535 and 5.779 Å and the angles 90.00°, 90.00° and 90.00°. The distinct sites, in fractional coordinates, are La at (0.000, 0.000, 0.000), Ga at (0.000, 0.000, 0.500), Sn at (0.500, 0.500, 0.500) and Au at (0.000, 0.500, 0.000).

The total magnetization is 0.000 μB per atom. As for the energy of formation: 0.524 eV per atom.

---

5.
Ba3InPt2 | PBE | relaxed

The structure belongs to space group P2_1/c (No. 14); the cell edges are 9.113, 9.477 and 11.948 Å and the angles 90.00°, 124.60° and 90.00°. The distinct sites, in fractional coordinates, are Ba at (0.217, 0.227, 0.148), Ba at (0.242, 0.527, 0.931), Ba at (0.253, 0.529, 0.406), In at (0.312, 0.732, 0.701), Pt at (0.004, 0.243, 0.812) and Pt at (0.480, 0.502, 0.258).

The total magnetization is 0.000 μB per atom. As for the energy of formation: -0.631 eV per atom.

---

6.
CaBeBi2 | PBE | relaxed

The structure belongs to space group I-42d (No. 122); the cell edges are 8.028, 8.028 and 6.598 Å and the angles 90.00°, 90.00° and 90.00°. The distinct sites, in fractional coordinates, are Ca at (0.000, 0.000, 0.000), Be at (0.000, 0.000, 0.500) and Bi at (0.184, 0.250, 0.625).

The total magnetization is 0.000 μB per atom. As for the energy of formation: -0.156 eV per atom.

---

7.
TbMg2In | PBE | relaxed

The structure belongs to space group Cm (No. 8); the cell edges are 8.954, 5.166 and 5.166 Å and the angles 90.00°, 125.14° and 90.00°. The distinct sites, in fractional coordinates, are Tb at (0.000, 0.000, 0.000), Mg at (0.000, 0.500, 0.500), Mg at (0.250, 0.500, 0.250) and In at (0.250, 0.000, 0.750).

The total magnetization is 0.000 μB per atom. The value obtained for the energy relative to the lowest polymorph listed for this composition is 5.4 kJ/mol of atoms. As for the energy of formation: -0.228 eV per atom.

---

8.
ReTeMo2 | PBE | relaxed

The structure belongs to space group Cmmm (No. 65); the cell edges are 3.280, 4.752 and 9.136 Å and the angles 90.00°, 90.00° and 90.00°. The distinct sites, in fractional coordinates, are Re at (0.000, 0.000, 0.000), Te at (0.000, 0.000, 0.500) and Mo at (0.000, 0.500, 0.225).

The total magnetization is 0.000 μB per atom. The calculation puts the raw formation energy at 0.640 eV/atom.

---

9.
Ba2TaTe | PBE | relaxed

The structure belongs to space group Pmmm (No. 47); the cell edges are 4.687, 5.246 and 7.055 Å and the angles 90.00°, 90.00° and 90.00°. The distinct sites, in fractional coordinates, are Ba at (0.000, 0.000, 0.000), Ba at (0.500, 0.500, 0.500), Ta at (0.000, 0.000, 0.500) and Te at (0.500, 0.500, 0.000).

The total magnetization is 1.140 μB per atom. The calculation puts the raw formation energy at 0.375 eV/atom.

---

10.
NiIrOs | PBE | relaxed

The structure belongs to space group P3m1 (No. 156); the cell edges are 2.6939, 2.6939 and 6.4314 Å and the angles 90.00°, 90.00° and 120.00°. The distinct sites, in fractional coordinates, are Ni at (0.0000, 0.0000, 0.0000), Ir at (0.6667, 0.3333, 0.6662) and Os at (0.3333, 0.6667, 0.3221).

The total magnetization is 0.000 μB per atom. The value obtained for the energy relative to the lowest polymorph listed for this composition is 7.5 kJ/mol of atoms. As for the energy of formation: 0.085 eV per atom.

---

11.
ZnCr2Au | PBE | relaxed

The structure belongs to space group I-42d (No. 122); the cell edges are 3.905, 3.905 and 18.619 Å and the angles 90.00°, 90.00° and 90.00°. The distinct sites, in fractional coordinates, are Zn at (0.000, 0.000, 0.000), Cr at (0.250, 0.250, 0.125) and Au at (0.000, 0.000, 0.500).

The total magnetization is 1.892 μB per atom. As for the energy of formation: 0.729 eV per atom.

---

12.
Y14ThZr | PBE | relaxed

The structure belongs to space group Amm2 (No. 38); the cell edges are 11.011, 8.174 and 11.311 Å and the angles 90.00°, 90.00° and 90.00°. The distinct sites, in fractional coordinates, are Y at (0.000, 0.000, 0.000), Y at (0.000, 0.000, 0.450), Y at (0.000, 0.215, 0.724), Y at (0.248, 0.000, 0.803), Y at (0.261, 0.209, 0.524), Y at (0.262, 0.000, 0.250), Y at (0.500, 0.212, 0.736), Th at (0.500, 0.000, 0.021) and Zr at (0.500, 0.000, 0.456).

The total magnetization is 0.000 μB per atom. As for the energy of formation: 0.077 eV per atom.

---

13.
Sc3CS2 | PBE | relaxed

The structure belongs to space group Immm (No. 71); the cell edges are 3.495, 5.056 and 10.998 Å and the angles 90.00°, 90.00° and 90.00°. The distinct sites, in fractional coordinates, are Sc at (0.000, 0.000, 0.000), Sc at (0.000, 0.000, 0.362), C at (0.000, 0.500, 0.000) and S at (0.000, 0.500, 0.327).

The total magnetization is 0.000 μB per atom. The calculation puts the raw formation energy at -1.512 eV/atom.

---

Calculated volume values, unit Å³/cell, following the record order: 360 105 580 177 849 425 195 142 173 40 284 1018 194.
E_tot values, unit eV/cell, following the record order: -68.54 -46.04 -143.99 -15.89 -97.51 -56.45 -22.94 -69.39 -17.34 -25.62 -83.53 -210.48 -91.09.